First-principles (PBE) data for crystalline AcCd6 at its relaxed geometry, as listed in Alexandria via LeMat-Bulk.

a = 6.2222 Å, b = 9.5183 Å, c = 11.9507 Å
α = 90.00°, β = 90.00°, γ = 90.00°
Positions (direct):
Ac1 0.7500 0.2424 0.9424
Ac2 0.2500 0.7576 0.0576
Ac3 0.7500 0.7424 0.5576
Ac4 0.2500 0.2576 0.4424
Cd1 0.7500 0.5980 0.0247
Cd2 0.2500 0.4020 0.9753
Cd3 0.7500 0.0980 0.4753
Cd4 0.2500 0.9020 0.5247
Cd5 0.0170 0.4285 0.1905
Cd6 0.5170 0.5715 0.8095
Cd7 0.4830 0.9285 0.3095
Cd8 0.9830 0.0715 0.6905
Cd9 0.9830 0.5715 0.8095
Cd10 0.4830 0.4285 0.1905
Cd11 0.5170 0.0715 0.6905
Cd12 0.0170 0.9285 0.3095
Cd13 0.2500 0.1305 0.1488
Cd14 0.7500 0.8695 0.8512
Cd15 0.2500 0.6305 0.3512
Cd16 0.7500 0.3695 0.6488
Cd17 0.2500 0.8140 0.7609
Cd18 0.7500 0.1860 0.2391
Cd19 0.2500 0.3140 0.7391
Cd20 0.7500 0.6860 0.2609
Cd21 0.2500 0.5668 0.5892
Cd22 0.7500 0.4332 0.4108
Cd23 0.2500 0.0668 0.9108
Cd24 0.7500 0.9332 0.0892

Results
Calculated density: 8460 kg/m³
Calculated volume: 708 Å³/cell
DFT total energy: -1.56 eV/atom
Symmetry: No. 62
Energy relative to the elements: -0.187 eV/atom
DOS(E_F): 3.359 states/eV/f.u.

=====

First-principles (PBE) data for crystalline LiNdZn4 at its relaxed geometry, as listed in Alexandria via LeMat-Bulk.

a = 4.0018 Å, b = 6.9965 Å, c = 7.7634 Å
α = 90.00°, β = 90.00°, γ = 90.00°
Positions (direct):
Li1 0.0000 0.1998 0.7500
Li2 0.0000 0.8002 0.2500
Nd1 0.0000 0.6204 0.7500
Nd2 0.0000 0.3796 0.2500
Zn1 0.0000 0.0000 0.5000
Zn2 0.0000 0.0000 0.0000
Zn3 0.5000 0.9506 0.7500
Zn4 0.5000 0.0494 0.2500
Zn5 0.5000 0.7033 0.0527
Zn6 0.5000 0.2967 0.9473
Zn7 0.5000 0.7033 0.4473
Zn8 0.5000 0.2967 0.5527

Results
Calculated density: 6307 kg/m³
Calculated volume: 217 Å³/cell
DFT total energy: -2.15 eV/atom
Symmetry: No. 51
Energy relative to the elements: -0.191 eV/atom
DOS(E_F): 2.882 states/eV/f.u.

=====

First-principles (PBE) data for crystalline UCo2Si4 at its relaxed geometry, as listed in Alexandria via LeMat-Bulk.

a = 3.9609 Å, b = 6.1220 Å, c = 16.2323 Å
α = 90.00°, β = 90.00°, γ = 90.00°
Site moments in Bohr magnetons follow the coordinates.
Positions (direct):
U1 0.7500 0.0019 0.6350  1.71
U2 0.2500 0.9981 0.3650  1.71
U3 0.2500 0.5019 0.8650  1.71
U4 0.7500 0.4981 0.1350  1.71
Co1 0.2500 0.7473 0.5349  0.03
Co2 0.7500 0.2527 0.4651  0.03
Co3 0.7500 0.2473 0.9651  0.03
Co4 0.2500 0.7527 0.0349  0.03
Co5 0.2500 0.9776 0.7899  0.10
Co6 0.7500 0.0224 0.2101  0.10
Co7 0.7500 0.4776 0.7101  0.10
Co8 0.2500 0.5224 0.2899  0.10
Si1 0.2500 0.2791 0.7022  0.01
Si2 0.7500 0.7209 0.2978  0.01
Si3 0.7500 0.7791 0.7978  0.01
Si4 0.2500 0.2209 0.2022  0.01
Si5 0.2500 0.6848 0.6863  -0.01
Si6 0.7500 0.3152 0.3137  -0.01
Si7 0.7500 0.1848 0.8137  -0.01
Si8 0.2500 0.8152 0.1863  -0.01
Si9 0.2500 0.1561 0.5293  0.00
Si10 0.7500 0.8439 0.4707  0.00
Si11 0.7500 0.6561 0.9707  0.00
Si12 0.2500 0.3439 0.0293  0.00
Si13 0.2500 0.4836 0.4314  -0.01
Si14 0.7500 0.5164 0.5686  -0.01
Si15 0.7500 0.9836 0.0686  -0.01
Si16 0.2500 0.0164 0.9314  -0.01

Results
Calculated density: 7902 kg/m³
Calculated volume: 394 Å³/cell
DFT total energy: -7.19 eV/atom
Symmetry: No. 62
DOS(E_F): 7.280 states/eV/f.u.

=====

First-principles (PBE) data for crystalline LiAgPt4 at its relaxed geometry, as listed in Alexandria via LeMat-Bulk.

a = 5.2773 Å, b = 5.2773 Å, c = 5.2773 Å
α = 60.00°, β = 60.00°, γ = 60.00°
Positions (direct):
Li1 0.0000 0.0000 0.0000
Ag1 0.7500 0.7500 0.7500
Pt1 0.8753 0.3749 0.3749
Pt2 0.3749 0.3749 0.8753
Pt3 0.3749 0.8753 0.3749
Pt4 0.3749 0.3749 0.3749

Results
Calculated density: 14303 kg/m³
Calculated volume: 104 Å³/cell
DFT total energy: -5.04 eV/atom
Symmetry: No. 216
Energy relative to the elements: -0.221 eV/atom
DOS(E_F): 1.662 states/eV/f.u.

=====

First-principles (PBE) data for crystalline TmFe4C4 at its relaxed geometry, as listed in Alexandria via LeMat-Bulk.

a = 3.5874 Å, b = 6.9356 Å, c = 6.9356 Å
α = 90.00°, β = 90.00°, γ = 90.00°
Positions (direct):
Tm1 0.0000 0.0000 0.0000
Tm2 0.5000 0.5000 0.5000
Fe1 0.3727 0.3396 0.8959
Fe2 0.8727 0.6041 0.8396
Fe3 0.3727 0.6604 0.1041
Fe4 0.1273 0.1604 0.6041
Fe5 0.6273 0.8959 0.6604
Fe6 0.1273 0.8396 0.3959
Fe7 0.8727 0.3959 0.1604
Fe8 0.6273 0.1041 0.3396
C1 0.6216 0.8365 0.2806
C2 0.6216 0.1635 0.7194
C3 0.1216 0.7806 0.6635
C4 0.8784 0.3365 0.7806
C5 0.8784 0.6635 0.2194
C6 0.3784 0.2806 0.1635
C7 0.3784 0.7194 0.8365
C8 0.1216 0.2194 0.3365

Results
Calculated density: 8475 kg/m³
Calculated volume: 173 Å³/cell
DFT total energy: -8.32 eV/atom
Symmetry: No. 86
Energy relative to the elements: 0.034 eV/atom
DOS(E_F): 6.891 states/eV/f.u.

=====

First-principles (PBE) data for crystalline LaCdGa at its relaxed geometry, as listed in Alexandria via LeMat-Bulk.

a = 4.3487 Å, b = 5.5713 Å, c = 7.7896 Å
α = 111.41°, β = 90.00°, γ = 112.97°
Positions (direct):
La1 0.3914 0.3680 0.8467
La2 0.6662 0.9182 0.4235
Ga1 0.0256 0.6367 0.6277
Ga2 0.6763 0.9377 0.8147
Cd1 0.1701 0.9257 0.0844
Cd2 0.9024 0.3902 0.2043

Results
Calculated density: 6683 kg/m³
Calculated volume: 160 Å³/cell
DFT total energy: -3.35 eV/atom
Symmetry: No. 8
Energy relative to the elements: -0.394 eV/atom
DOS(E_F): 1.779 states/eV/f.u.

=====

What is the calculated volume in the second record?
217 Å³/cell

=====

Which of these has the lowest DFT total energy?
TmFe4C4